(1)
{
  "formula": "HgHSeN2",
  "functional": "PBE",
  "state": "relaxed",
  "lattice_angstrom": [[-1.8886, -0.0267, 3.8484], [-0.9699, -4.1452, -0.5048], [2.8933, -0.8491, 1.4140]],
  "species": ["N", "N", "Hg", "Se", "H"],
  "frac_coords": [[0.5000, 0.0000, 0.0000], [0.0000, 0.5000, 0.0000], [0.5000, 0.5000, 0.5000], [0.0000, 0.0000, 0.5000], [0.0000, 0.0000, 0.0000]],
  "relative_energy_ev_per_fu": 0.00,
  "magnetic_moment_mub_per_fu": 1.54,
  "volume_a3_per_atom": 12.2
}


(2)
{
  "formula": "Pr2Dy6YHo3",
  "functional": "PBE",
  "state": "relaxed",
  "lattice_angstrom": [[6.1804, 0.0014, 0.0086], [-3.0875, 5.3539, 0.0086], [-1.0421, -1.8044, 11.6447]],
  "species": ["Dy", "Dy", "Dy", "Dy", "Dy", "Dy", "Ho", "Ho", "Ho", "Y", "Pr", "Pr"],
  "frac_coords": [[0.0852, 0.4181, 0.2541], [0.2476, 0.2476, 0.7456], [0.4181, 0.0852, 0.2541], [0.9148, 0.5819, 0.7459], [0.7524, 0.7524, 0.2544], [0.5819, 0.9148, 0.7459], [0.5000, 0.5000, 0.5000], [0.1664, 0.8336, 0.5000], [0.8336, 0.1664, 0.5000], [0.0000, 0.0000, 0.0000], [0.6666, 0.3334, 0.0000], [0.3334, 0.6666, 0.0000]],
  "magnetic_moment_mub_per_fu": 0.00,
  "ef_ev_per_atom": 0.019,
  "volume_a3_per_atom": 32.1
}


(3)
{
  "formula": "CsK2As",
  "functional": "PBE",
  "state": "relaxed",
  "lattice_angstrom": [[-3.5135, 0.4140, 4.6572], [3.9487, -2.8569, 3.2330], [5.0444, 8.5843, 6.7149]],
  "species": ["As", "As", "K", "K", "K", "K", "Cs", "Cs"],
  "frac_coords": [[0.2500, 0.7500, 0.5000], [0.5000, 0.5000, 0.0000], [0.8750, 0.7944, 0.7500], [0.3750, 0.4556, 0.7500], [0.5444, 0.1250, 0.2500], [0.2056, 0.6250, 0.2500], [0.7500, 0.2500, 0.5000], [0.0000, 0.0000, 0.0000]],
  "magnetic_moment_mub_per_fu": 0.00,
  "ef_ev_per_atom": -0.051,
  "volume_a3_per_atom": 48.2
}


(4)
{
  "formula": "DyBe17Pd",
  "functional": "PBE",
  "state": "relaxed",
  "lattice_angstrom": [[-0.5846, 4.4561, 3.4723], [-5.3446, 1.2677, -1.4435], [-2.5165, -2.7997, 4.2526]],
  "species": ["Be", "Be", "Be", "Be", "Be", "Be", "Be", "Be", "Be", "Be", "Be", "Be", "Be", "Be", "Be", "Be", "Be", "Pd", "Dy"],
  "frac_coords": [[0.6528, 0.1618, 0.6528], [0.9898, 0.9898, 0.5099], [0.0998, 0.0998, 0.0998], [0.0073, 0.2879, 0.7070], [0.7070, 0.2879, 0.0073], [0.2879, 0.7070, 0.0073], [0.5099, 0.9898, 0.9898], [0.1618, 0.6528, 0.6528], [0.3405, 0.3405, 0.8686], [0.9898, 0.5099, 0.9898], [0.0073, 0.7070, 0.2879], [0.6528, 0.6528, 0.1618], [0.2879, 0.0073, 0.7070], [0.8686, 0.3405, 0.3405], [0.7070, 0.0073, 0.2879], [0.9053, 0.9053, 0.9053], [0.3405, 0.8686, 0.3405], [0.3285, 0.3285, 0.3285], [0.6556, 0.6556, 0.6556]],
  "magnetic_moment_mub_per_fu": 0.00,
  "ef_ev_per_atom": -0.102,
  "volume_a3_per_atom": 9.5
}


(5)
{
  "formula": "BaNaAcCd",
  "functional": "PBE",
  "state": "relaxed",
  "lattice_angstrom": [[-2.5595, 3.8175, 3.9167], [-5.8884, -0.4612, 1.2566], [-1.7849, -1.9798, 5.4184]],
  "species": ["Ac", "Ba", "Na", "Cd"],
  "frac_coords": [[0.5000, 0.5000, 0.5000], [0.0000, 0.0000, 0.0000], [0.2500, 0.2500, 0.2500], [0.7500, 0.7500, 0.7500]],
  "magnetic_moment_mub_per_fu": 0.00,
  "ef_ev_per_atom": -0.038,
  "volume_a3_per_atom": 38.9
}


(6)
{
  "formula": "Zn2PCl",
  "functional": "PBE",
  "state": "relaxed",
  "lattice_angstrom": [[3.1801, 0.0000, 0.0000], [0.0000, 3.1801, 0.0000], [0.0000, 0.0000, 6.9002]],
  "species": ["Zn", "Zn", "P", "Cl"],
  "frac_coords": [[0.0000, 0.0000, 0.9621], [0.0000, 0.0000, 0.5379], [0.5000, 0.5000, 0.7500], [0.5000, 0.5000, 0.2500]],
  "relative_energy_ev_per_fu": 2.41,
  "magnetic_moment_mub_per_fu": 0.00,
  "raw_formation_energy_ev_per_atom": 0.075,
  "volume_a3_per_atom": 17.4
}


(7)
{
  "formula": "Cs3AgSe2",
  "functional": "PBE",
  "state": "relaxed",
  "lattice_angstrom": [[8.0305, 0.0000, 0.0000], [0.0000, 9.5502, 0.0000], [-4.0152, -4.7751, 7.4097]],
  "species": ["Cs", "Cs", "Cs", "Cs", "Cs", "Cs", "Se", "Se", "Se", "Se", "Ag", "Ag"],
  "frac_coords": [[0.2257, 0.9757, 0.4513], [0.7743, 0.5243, 0.5487], [0.5000, 0.7500, 0.0000], [0.7743, 0.0243, 0.5487], [0.2257, 0.4757, 0.4513], [0.5000, 0.2500, 0.0000], [0.1239, 0.8867, 0.7735], [0.3504, 0.6133, 0.2265], [0.8761, 0.1133, 0.2265], [0.6496, 0.3867, 0.7735], [0.0000, 0.0000, 0.0000], [0.0000, 0.5000, 0.0000]],
  "magnetic_moment_mub_per_fu": 0.00,
  "raw_formation_energy_ev_per_atom": -0.863,
  "volume_a3_per_atom": 47.4
}


(8)
{
  "formula": "Ca3PaPd12",
  "functional": "PBE",
  "state": "relaxed",
  "lattice_angstrom": [[-1.5143, 0.0770, 3.8420], [3.8182, -0.4364, 1.5137], [1.7401, 16.4593, 0.3560]],
  "species": ["Pa", "Pd", "Pd", "Pd", "Pd", "Pd", "Pd", "Pd", "Pd", "Pd", "Pd", "Pd", "Pd", "Ca", "Ca", "Ca"],
  "frac_coords": [[0.0000, 0.0000, 0.0000], [0.5000, 0.0000, 0.1192], [0.0000, 0.5000, 0.8808], [0.5000, 0.5000, 0.2481], [0.5000, 0.0000, 0.8808], [0.5000, 0.5000, 0.5000], [0.0000, 0.5000, 0.3745], [0.5000, 0.0000, 0.3745], [0.5000, 0.0000, 0.6255], [0.5000, 0.5000, 0.7519], [0.0000, 0.5000, 0.6255], [0.0000, 0.5000, 0.1192], [0.5000, 0.5000, 0.0000], [0.0000, 0.0000, 0.5000], [0.0000, 0.0000, 0.2518], [0.0000, 0.0000, 0.7482]],
  "magnetic_moment_mub_per_fu": 0.00,
  "ef_ev_per_atom": -0.630,
  "volume_a3_per_atom": 17.7
}


(9)
{
  "formula": "AcYSbO6",
  "functional": "PBE",
  "state": "relaxed",
  "lattice_angstrom": [[5.7259, 0.0000, 0.0000], [-2.8629, 4.9587, 0.0000], [0.0000, 0.0000, 10.3424]],
  "species": ["O", "O", "O", "O", "O", "O", "O", "O", "O", "O", "O", "O", "Ac", "Ac", "Y", "Y", "Sb", "Sb"],
  "frac_coords": [[0.6565, 0.6209, 0.1419], [0.6565, 0.0355, 0.3581], [0.9645, 0.6209, 0.3581], [0.6209, 0.6565, 0.6419], [0.0355, 0.6565, 0.8581], [0.0355, 0.3791, 0.6419], [0.9645, 0.3435, 0.1419], [0.3435, 0.3791, 0.8581], [0.3791, 0.3435, 0.3581], [0.3791, 0.0355, 0.1419], [0.6209, 0.9645, 0.8581], [0.3435, 0.9645, 0.6419], [0.0000, 0.0000, 0.5000], [0.0000, 0.0000, 0.0000], [0.6667, 0.3333, 0.7500], [0.3333, 0.6667, 0.2500], [0.3333, 0.6667, 0.7500], [0.6667, 0.3333, 0.2500]],
  "magnetic_moment_mub_per_fu": 1.06,
  "raw_formation_energy_ev_per_atom": -2.431,
  "volume_a3_per_atom": 16.3
}


(10)
{
  "formula": "Li15ZnCd4",
  "functional": "PBE",
  "state": "relaxed",
  "lattice_angstrom": [[-2.5454, -0.8551, 3.4246], [-3.1212, -1.4264, -2.6761], [7.2213, -17.6181, 0.9681]],
  "species": ["Li", "Li", "Li", "Li", "Li", "Li", "Li", "Li", "Li", "Li", "Li", "Li", "Li", "Li", "Li", "Zn", "Cd", "Cd", "Cd", "Cd"],
  "frac_coords": [[0.5000, 0.0000, 0.7031], [0.5000, 0.5000, 0.3988], [0.5000, 0.0000, 0.0929], [0.5000, 0.5000, 0.0000], [0.0000, 0.5000, 0.0929], [0.5000, 0.5000, 0.8053], [0.0000, 0.5000, 0.5000], [0.0000, 0.5000, 0.9071], [0.5000, 0.5000, 0.6012], [0.5000, 0.0000, 0.2969], [0.5000, 0.0000, 0.5000], [0.0000, 0.5000, 0.7031], [0.5000, 0.5000, 0.1947], [0.5000, 0.0000, 0.9071], [0.0000, 0.5000, 0.2969], [0.0000, 0.0000, 0.0000], [0.0000, 0.0000, 0.1946], [0.0000, 0.0000, 0.6012], [0.0000, 0.0000, 0.3988], [0.0000, 0.0000, 0.8054]],
  "magnetic_moment_mub_per_fu": 0.00,
  "ef_ev_per_atom": -0.154,
  "volume_a3_per_atom": 18.1
}


(11)
{
  "formula": "LaBePS2",
  "functional": "PBE",
  "state": "relaxed",
  "lattice_angstrom": [[4.6240, 0.0000, 0.0000], [0.0000, 4.6240, 0.0000], [0.0000, 0.0000, 4.2728]],
  "species": ["S", "S", "La", "P", "Be"],
  "frac_coords": [[0.0000, 0.5000, 0.0000], [0.5000, 0.0000, 0.0000], [0.5000, 0.5000, 0.5000], [0.0000, 0.0000, 0.5000], [0.0000, 0.0000, 0.0000]],
  "relative_energy_ev_per_fu": 0.00,
  "magnetic_moment_mub_per_fu": 0.00,
  "raw_formation_energy_ev_per_atom": -0.765,
  "volume_a3_per_atom": 18.3
}


(12)
{
  "formula": "Sr2AlPb",
  "functional": "PBE",
  "state": "relaxed",
  "lattice_angstrom": [[-1.4304, 10.4147, -2.1627], [-3.7894, 8.7660, -4.8978], [-5.1335, 9.3477, -1.2074]],
  "species": ["Sr", "Sr", "Pb", "Al"],
  "frac_coords": [[0.5039, 0.5039, 0.5039], [0.9961, 0.9961, 0.9961], [0.7500, 0.7500, 0.7500], [0.2500, 0.2500, 0.2500]],
  "relative_energy_ev_per_fu": 0.80,
  "magnetic_moment_mub_per_fu": 0.00,
  "ef_ev_per_atom": -0.100,
  "volume_a3_per_atom": 35.8
}


(13)
{
  "formula": "Cr2SiHg",
  "functional": "PBE",
  "state": "relaxed",
  "lattice_angstrom": [[-2.5390, 2.6168, -2.1830], [0.8823, -1.3239, -2.6132], [-3.5917, -3.1606, 0.3887]],
  "species": ["Si", "Hg", "Cr", "Cr"],
  "frac_coords": [[0.5000, 0.6250, 0.8323], [0.0000, 0.6252, 0.4653], [0.5000, 0.1249, 0.2410], [0.0000, 0.1250, 0.9614]],
  "magnetic_moment_mub_per_fu": 0.02,
  "raw_formation_energy_ev_per_atom": 0.372,
  "volume_a3_per_atom": 15.6
}


(14)
{
  "formula": "Zr3CdN",
  "functional": "PBE",
  "state": "relaxed",
  "lattice_angstrom": [[-2.2220, 3.6169, -2.3912], [3.2288, -2.8246, -2.3094], [-6.5425, -5.5660, -2.3394]],
  "species": ["Cd", "Cd", "N", "N", "Zr", "Zr", "Zr", "Zr", "Zr", "Zr"],
  "frac_coords": [[0.3333, 0.6667, 0.7500], [0.6667, 0.3333, 0.2500], [0.0000, 0.0000, 0.5000], [0.0000, 0.0000, 0.0000], [0.3333, 0.6667, 0.0775], [0.6667, 0.3333, 0.5775], [0.6667, 0.3333, 0.9225], [0.3333, 0.6667, 0.4225], [0.0000, 0.0000, 0.7500], [0.0000, 0.0000, 0.2500]],
  "magnetic_moment_mub_per_fu": 0.00,
  "raw_formation_energy_ev_per_atom": -0.179,
  "volume_a3_per_atom": 18.3
}


(15)
{
  "formula": "BaP2Rh",
  "functional": "PBE",
  "state": "relaxed",
  "lattice_angstrom": [[-0.8702, -1.6152, 2.8886], [-1.2635, -2.5985, -1.8334], [6.2638, -3.1388, 0.1319]],
  "species": ["Rh", "P", "P", "Ba"],
  "frac_coords": [[0.0000, 0.0000, 0.3883], [0.5000, 0.5000, 0.2817], [0.0000, 0.0000, 0.0610], [0.5000, 0.5000, 0.7691]],
  "magnetic_moment_mub_per_fu": 0.00,
  "ef_ev_per_atom": -0.135,
  "volume_a3_per_atom": 20.5
}


(16)
{
  "formula": "CrAu",
  "functional": "PBE",
  "state": "relaxed",
  "lattice_angstrom": [[8.2258, 0.0000, 0.0000], [0.0000, 13.5347, 0.0000], [0.0000, 0.0000, 4.7080]],
  "species": ["Au", "Au", "Au", "Au", "Au", "Au", "Au", "Au", "Au", "Au", "Au", "Au", "Au", "Au", "Au", "Au", "Cr", "Cr", "Cr", "Cr", "Cr", "Cr", "Cr", "Cr", "Cr", "Cr", "Cr", "Cr", "Cr", "Cr", "Cr", "Cr"],
  "frac_coords": [[0.6649, 0.0000, 0.0000], [0.3351, 0.5000, 0.5000], [0.4149, 0.2500, 0.2500], [0.8351, 0.5000, 0.0000], [0.5851, 0.2500, 0.7500], [0.8351, 0.0000, 0.5000], [0.9149, 0.2500, 0.7500], [0.3351, 0.0000, 0.0000], [0.1649, 0.0000, 0.5000], [0.1649, 0.5000, 0.0000], [0.9149, 0.7500, 0.2500], [0.5851, 0.7500, 0.2500], [0.4149, 0.7500, 0.7500], [0.0851, 0.2500, 0.2500], [0.0851, 0.7500, 0.7500], [0.6649, 0.5000, 0.5000], [0.2500, 0.8186, 0.2500], [0.2500, 0.6814, 0.2500], [0.0000, 0.4314, 0.5000], [0.5000, 0.4314, 0.0000], [0.2500, 0.1814, 0.7500], [0.0000, 0.0686, 0.0000], [0.7500, 0.8186, 0.7500], [0.0000, 0.9314, 0.0000], [0.7500, 0.1814, 0.2500], [0.0000, 0.5686, 0.5000], [0.5000, 0.0686, 0.5000], [0.5000, 0.5686, 0.0000], [0.2500, 0.3186, 0.7500], [0.7500, 0.3186, 0.2500], [0.5000, 0.9314, 0.5000], [0.7500, 0.6814, 0.7500]],
  "magnetic_moment_mub_per_fu": 0.00,
  "ef_ev_per_atom": 0.537,
  "volume_a3_per_atom": 16.4
}


(17)
{
  "formula": "Os3SeF",
  "functional": "PBE",
  "state": "relaxed",
  "lattice_angstrom": [[4.2693, 0.0000, 0.0000], [0.0000, 4.2693, 0.0000], [0.0000, 0.0000, 4.2693]],
  "species": ["F", "Os", "Os", "Os", "Se"],
  "frac_coords": [[0.0000, 0.0000, 0.0000], [0.0000, 0.5000, 0.0000], [0.0000, 0.0000, 0.5000], [0.5000, 0.0000, 0.0000], [0.5000, 0.5000, 0.5000]],
  "relative_energy_ev_per_fu": 0.00,
  "magnetic_moment_mub_per_fu": 0.00,
  "raw_formation_energy_ev_per_atom": 1.959,
  "volume_a3_per_atom": 15.6
}


(18)
{
  "formula": "CrAg2Ir",
  "functional": "PBE",
  "state": "relaxed",
  "lattice_angstrom": [[2.8702, 0.0000, 0.0000], [0.0000, 3.5619, 0.0000], [0.0000, 0.0000, 6.3309]],
  "species": ["Ag", "Ag", "Cr", "Ir"],
  "frac_coords": [[0.0000, 0.0000, 0.9934], [0.5000, 0.5000, 0.2587], [0.0000, 0.0000, 0.5388], [0.5000, 0.5000, 0.7091]],
  "relative_energy_ev_per_fu": 0.12,
  "magnetic_moment_mub_per_fu": 2.50,
  "ef_ev_per_atom": 0.223,
  "volume_a3_per_atom": 16.2
}


(19)
{
  "formula": "NpTe2PdN",
  "functional": "PBE",
  "state": "relaxed",
  "lattice_angstrom": [[3.9107, 0.0000, 0.0000], [0.0000, 3.9107, 0.0000], [0.0000, 0.0000, 14.1864]],
  "species": ["Pd", "Pd", "Te", "Te", "Te", "Te", "N", "N", "Np", "Np"],
  "frac_coords": [[0.0000, 0.5000, 0.8943], [0.5000, 0.0000, 0.1057], [0.5000, 0.0000, 0.2957], [0.5000, 0.0000, 0.9159], [0.0000, 0.5000, 0.7043], [0.0000, 0.5000, 0.0841], [0.5000, 0.5000, 0.5000], [0.0000, 0.0000, 0.5000], [0.0000, 0.5000, 0.4215], [0.5000, 0.0000, 0.5785]],
  "magnetic_moment_mub_per_fu": 2.61,
  "raw_formation_energy_ev_per_atom": -0.767,
  "volume_a3_per_atom": 21.7
}


(20)
{
  "formula": "HfMoP2",
  "functional": "PBE",
  "state": "relaxed",
  "lattice_angstrom": [[3.7237, 0.0000, 0.0000], [1.8618, 3.2248, 0.0000], [1.8618, 1.0749, 5.5528]],
  "species": ["Mo", "Hf", "P", "P"],
  "frac_coords": [[0.0000, 0.0000, 0.0000], [0.5000, 0.5000, 0.5000], [0.2561, 0.2561, 0.2318], [0.7439, 0.7439, 0.7682]],
  "relative_energy_ev_per_fu": 0.52,
  "magnetic_moment_mub_per_fu": 1.31,
  "ef_ev_per_atom": -0.595,
  "volume_a3_per_atom": 16.7
}


(21)
{
  "formula": "AcTb14Y",
  "functional": "PBE",
  "state": "relaxed",
  "lattice_angstrom": [[7.3141, -0.1047, 0.0000], [-3.5670, 6.3862, 0.0000], [0.0000, 0.0000, 11.4502]],
  "species": ["Tb", "Tb", "Tb", "Tb", "Tb", "Tb", "Tb", "Tb", "Tb", "Tb", "Tb", "Tb", "Tb", "Tb", "Ac", "Y"],
  "frac_coords": [[0.1668, 0.3334, 0.5000], [0.8346, 0.1654, 0.7458], [0.6668, 0.3332, 0.5000], [0.6666, 0.8332, 0.5000], [0.8346, 0.1654, 0.2542], [0.1652, 0.3313, 0.0000], [0.1668, 0.8332, 0.5000], [0.8345, 0.6692, 0.2546], [0.3335, 0.6665, 0.2501], [0.3308, 0.1655, 0.7454], [0.6687, 0.8348, 0.0000], [0.8345, 0.6692, 0.7454], [0.3308, 0.1655, 0.2546], [0.3335, 0.6665, 0.7499], [0.6666, 0.3334, 0.0000], [0.1656, 0.8344, 0.0000]],
  "magnetic_moment_mub_per_fu": 0.00,
  "ef_ev_per_atom": 0.024,
  "volume_a3_per_atom": 33.2
}


(22)
{
  "formula": "PuPdAu4",
  "functional": "PBE",
  "state": "relaxed",
  "lattice_angstrom": [[-2.2228, 0.9628, 4.2680], [2.2792, -4.6531, 2.2922], [7.8206, 2.1613, 3.6132]],
  "species": ["Pu", "Pu", "Au", "Au", "Au", "Au", "Au", "Au", "Au", "Au", "Pd", "Pd"],
  "frac_coords": [[0.2500, 0.6211, 0.7578], [0.7500, 0.3789, 0.2422], [0.7502, 0.4567, 0.5824], [0.2526, 0.1987, 0.0842], [0.2498, 0.5433, 0.4176], [0.2474, 0.7171, 0.0842], [0.2502, 0.0391, 0.4176], [0.7474, 0.8013, 0.9158], [0.7526, 0.2829, 0.9158], [0.7498, 0.9609, 0.5824], [0.2500, 0.1289, 0.7423], [0.7500, 0.8711, 0.2577]],
  "relative_energy_ev_per_fu": 0.00,
  "magnetic_moment_mub_per_fu": 5.24,
  "ef_ev_per_atom": -0.287,
  "volume_a3_per_atom": 19.5
}


Respective DFT total energy values: -13.58, -57.15, -15.81, -75.08, -8.42, -9.51, -35.12, -87.89, -132.64, -36.73, -26.14, -11.21, -23.48, -71.56, -20.63, -189.22, -29.25, -23.29, -73.16, -33.98, -75.02, -68.72 eV per cell.